A plane-wave DFT calculation with PBE was carried out for PuAg2Bi after structural relaxation.

Lattice parameters (Å, degrees): 3.9406 3.9406 6.4129 90.00 90.00 90.00
Last column: nearest neighbours and their distance in Å.
Atoms (fractional coordinates):
1 Bi 0.5000 0.5000 0.5000  2 Pu 3.21, 8 Ag 3.23
2 Ag 0.0000 0.0000 0.7559  2 Ag 3.13-3.28, 4 Pu 3.20, 4 Bi 3.23
3 Ag 0.0000 0.0000 0.2441  2 Ag 3.13-3.28, 4 Pu 3.20, 4 Bi 3.23
4 Pu 0.5000 0.5000 0.0000  8 Ag 3.20, 2 Bi 3.21

Calculated values
Total DFT energy (no corrections) = -5.94 eV/atom
Energy of formation from the pure elements = 0.04 eV/atom

A plane-wave DFT calculation with PBE was carried out for Pu2AgBi after structural relaxation.

Lattice parameters (Å, degrees): 4.6617 4.7093 4.7093 90.00 90.00 90.00
Last column: nearest neighbours and their distance in Å.
Atoms (fractional coordinates):
1 Bi 0.5000 0.5000 0.5000  8 Pu 3.31, 4 Ag 3.33
2 Ag 0.5000 0.0000 0.0000  8 Pu 3.31, 4 Bi 3.33
3 Pu 0.0000 0.0000 0.5000  4 Ag 3.31, 4 Bi 3.31, 4 Pu 3.33
4 Pu 0.0000 0.5000 0.0000  4 Bi 3.31, 4 Ag 3.31, 4 Pu 3.33

Calculated values
Total DFT energy (no corrections) = -9.02 eV/atom
Energy of formation from the pure elements = -0.17 eV/atom

A plane-wave DFT calculation with PBE was carried out for Pu2AgBi after structural relaxation.

Lattice parameters (Å, degrees): 3.2760 3.2760 11.9949 82.15 82.15 60.00
Last column: nearest neighbours and their distance in Å.
Atoms (fractional coordinates):
1 Bi 0.5000 0.5000 0.5000  6 Bi 3.28, 6 Pu 3.44
2 Ag 0.0000 0.0000 0.0000  2 Pu 3.05, 6 Ag 3.28
3 Pu 0.0859 0.0859 0.7422  1 Ag 3.05, 6 Pu 3.28
4 Pu 0.9141 0.9141 0.2578  1 Ag 3.05, 6 Pu 3.28

Calculated values
Total DFT energy (no corrections) = -8.57 eV/atom
Energy of formation from the pure elements = 0.28 eV/atom

A plane-wave DFT calculation with PBE was carried out for PuAgBiRh after structural relaxation.

Lattice parameters (Å, degrees): 4.9728 4.9728 4.9728 60.00 60.00 60.00
Last column: nearest neighbours and their distance in Å.
Atoms (fractional coordinates):
1 Rh 0.7500 0.7500 0.7500  4 Bi 3.05, 4 Pu 3.05
2 Bi 0.0000 0.0000 0.0000  4 Ag 3.05, 4 Rh 3.05
3 Ag 0.2500 0.2500 0.2500  4 Pu 3.05, 4 Bi 3.05
4 Pu 0.5000 0.5000 0.5000  4 Rh 3.05, 4 Ag 3.05

Calculated values
Total DFT energy (no corrections) = -7.22 eV/atom
Energy of formation from the pure elements = -0.11 eV/atom

A plane-wave DFT calculation with PBE was carried out for PuAg2BiSe4 after structural relaxation.

Lattice parameters (Å, degrees): 4.2502 7.3209 6.9064 111.69 90.00 90.00
Last column: nearest neighbours and their distance in Å.
Atoms (fractional coordinates):
1 Pu 0.5000 0.5000 0.0000  6 Se 2.92-2.96
2 Ag 0.5000 0.0000 0.5000  6 Se 2.92-2.93
3 Ag 0.0000 0.5000 0.5000  6 Se 2.87-2.93
4 Bi 0.0000 0.0000 0.0000  6 Se 2.96-2.97
5 Se 0.5000 0.2581 0.2611  3 Ag 2.87-2.93, 1 Pu 2.96, 2 Bi 2.97
6 Se 0.5000 0.7419 0.7389  3 Ag 2.87-2.93, 1 Pu 2.96, 2 Bi 2.97
7 Se 0.0000 0.2509 0.7480  3 Ag 2.92-2.93, 2 Pu 2.92, 1 Bi 2.96
8 Se 0.0000 0.7491 0.2520  3 Ag 2.92-2.93, 2 Pu 2.92, 1 Bi 2.96

Calculated values
Total DFT energy (no corrections) = -5.30 eV/atom
Raw formation energy = -0.57 eV/atom

A plane-wave DFT calculation with PBE was carried out for PuAgSnBi after structural relaxation.

Lattice parameters (Å, degrees): 4.3714 4.7605 4.8580 90.00 90.00 90.00
Last column: nearest neighbours and their distance in Å.
Atoms (fractional coordinates):
1 Pu 0.5000 0.0000 0.5000  4 Bi 3.23, 4 Sn 3.27, 4 Ag 3.40
2 Ag 0.5000 0.5000 0.0000  4 Sn 3.23, 4 Bi 3.27, 4 Pu 3.40
3 Sn 0.0000 0.0000 0.0000  4 Ag 3.23, 4 Pu 3.27, 4 Bi 3.40
4 Bi 0.0000 0.5000 0.5000  4 Pu 3.23, 4 Ag 3.27, 4 Sn 3.40

Calculated values
Total DFT energy (no corrections) = -6.49 eV/atom
Excess energy over the best structure of this formula in the dataset = 0.00 eV/f.u.
Energy of formation from the pure elements = -0.22 eV/atom

A plane-wave DFT calculation with PBE was carried out for PuAgSnBi after structural relaxation.

Lattice parameters (Å, degrees): 5.3267 5.3267 5.3267 60.00 60.00 60.00
Last column: nearest neighbours and their distance in Å.
Atoms (fractional coordinates):
1 Ag 0.7500 0.7500 0.7500  4 Bi 3.26, 4 Pu 3.26
2 Bi 0.5000 0.5000 0.5000  4 Ag 3.26, 4 Sn 3.26
3 Sn 0.2500 0.2500 0.2500  4 Bi 3.26, 4 Pu 3.26
4 Pu 0.0000 0.0000 0.0000  4 Sn 3.26, 4 Ag 3.26

Calculated values
Total DFT energy (no corrections) = -6.29 eV/atom
Excess energy over the best structure of this formula in the dataset = 0.79 eV/f.u.
Energy of formation from the pure elements = -0.02 eV/atom

A plane-wave DFT calculation with PBE was carried out for SrPuAgBi after structural relaxation.

Lattice parameters (Å, degrees): 5.5515 5.5515 5.5515 60.00 60.00 60.00
Last column: nearest neighbours and their distance in Å.
Atoms (fractional coordinates):
1 Sr 0.5000 0.5000 0.5000  4 Ag 3.40, 4 Bi 3.40
2 Bi 0.7500 0.7500 0.7500  4 Sr 3.40, 4 Pu 3.40
3 Ag 0.2500 0.2500 0.2500  4 Pu 3.40, 4 Sr 3.40
4 Pu 0.0000 0.0000 0.0000  4 Bi 3.40, 4 Ag 3.40

Calculated values
Total DFT energy (no corrections) = -5.99 eV/atom
Energy of formation from the pure elements = -0.31 eV/atom

A plane-wave DFT calculation with PBE was carried out for PuAg2BiTe4 after structural relaxation.

Lattice parameters (Å, degrees): 4.4796 7.6779 7.4235 110.73 90.00 90.00
Last column: nearest neighbours and their distance in Å.
Atoms (fractional coordinates):
1 Pu 0.5000 0.5000 0.0000  6 Te 3.14-3.17
2 Ag 0.5000 0.0000 0.5000  6 Te 3.04-3.07
3 Ag 0.0000 0.5000 0.5000  6 Te 3.03-3.05
4 Bi 0.0000 0.0000 0.0000  6 Te 3.17
5 Te 0.5000 0.2565 0.2677  3 Ag 3.03-3.04, 1 Pu 3.17, 2 Bi 3.17
6 Te 0.5000 0.7435 0.7323  3 Ag 3.03-3.04, 1 Pu 3.17, 2 Bi 3.17
7 Te 0.0000 0.2488 0.7387  3 Ag 3.05-3.07, 2 Pu 3.14, 1 Bi 3.17
8 Te 0.0000 0.7512 0.2613  3 Ag 3.05-3.07, 2 Pu 3.14, 1 Bi 3.17

Calculated values
Total DFT energy (no corrections) = -4.91 eV/atom
Raw formation energy = -0.35 eV/atom

A plane-wave DFT calculation with PBE was carried out for PuThAgBi after structural relaxation.

Lattice parameters (Å, degrees): 5.4252 5.4252 5.4252 60.00 60.00 60.00
Last column: nearest neighbours and their distance in Å.
Atoms (fractional coordinates):
1 Ag 0.2500 0.2500 0.2500  4 Th 3.32, 4 Pu 3.32
2 Bi 0.7500 0.7500 0.7500  4 Th 3.32, 4 Pu 3.32
3 Th 0.5000 0.5000 0.5000  4 Bi 3.32, 4 Ag 3.32
4 Pu 0.0000 0.0000 0.0000  4 Bi 3.32, 4 Ag 3.32

Calculated values
Total DFT energy (no corrections) = -7.27 eV/atom
Energy of formation from the pure elements = -0.15 eV/atom

A plane-wave DFT calculation with PBE was carried out for PuTlAgBi after structural relaxation.

Lattice parameters (Å, degrees): 5.3816 5.3816 5.3816 60.00 60.00 60.00
Last column: nearest neighbours and their distance in Å.
Atoms (fractional coordinates):
1 Tl 0.2500 0.2500 0.2500  4 Bi 3.30, 4 Ag 3.30
2 Bi 0.5000 0.5000 0.5000  4 Tl 3.30, 4 Pu 3.30
3 Ag 0.0000 0.0000 0.0000  4 Pu 3.30, 4 Tl 3.30
4 Pu 0.7500 0.7500 0.7500  4 Ag 3.30, 4 Bi 3.30

Calculated values
Total DFT energy (no corrections) = -5.82 eV/atom
Energy of formation from the pure elements = 0.03 eV/atom

A plane-wave DFT calculation with PBE was carried out for TmPuAgBi after structural relaxation.

Lattice parameters (Å, degrees): 5.3057 5.3057 5.3057 60.00 60.00 60.00
Last column: nearest neighbours and their distance in Å.
Atoms (fractional coordinates):
1 Tm 0.0000 0.0000 0.0000  4 Ag 3.25, 4 Bi 3.25
2 Bi 0.2500 0.2500 0.2500  4 Tm 3.25, 4 Pu 3.25
3 Ag 0.7500 0.7500 0.7500  4 Tm 3.25, 4 Pu 3.25
4 Pu 0.5000 0.5000 0.5000  4 Bi 3.25, 4 Ag 3.25

Calculated values
Total DFT energy (no corrections) = -6.65 eV/atom
Energy of formation from the pure elements = -0.26 eV/atom

Calculated size of the total moment (μB/f.u.), listed in the same order as above: 5.67, 12.14, 11.98, 5.11, 4.98, 5.58, 5.98, 6.02, 4.95, 7.47, 5.66, 6.97